1.
VASP calculation (PBE) on crystalline Li4TbPd at its relaxed geometry.

Space group ... F-43m (216)
Spin magnetization ... 0.00 μB/cell
Formation enthalpy at 0 K ... -0.094 eV per atom
Crystal system ... cubic
Energy ... -18.0 eV for the cell shown

Unit cell a=5.276 b=5.276 c=5.276 alpha=60.00 beta=60.00 gamma=60.00
Atoms (fractional coordinates):
Tb: 0.250 0.250 0.250
Li: 0.628 0.117 0.628
Li: 0.628 0.628 0.117
Li: 0.117 0.628 0.628
Li: 0.628 0.628 0.628
Pd: 0.000 0.000 0.000



2.
VASP calculation (PBE) on crystalline Rb2ZnGaCu at its relaxed geometry.

Space group ... P4/mmm (123)
Spin magnetization ... 0.00 μB/cell
Formation enthalpy at 0 K ... 0.395 eV per atom
Crystal system ... tetragonal
Energy ... -8.4 eV for the cell shown

Unit cell a=6.566 b=4.667 c=6.566 alpha=90.00 beta=90.00 gamma=90.00
Atoms (fractional coordinates):
Rb: 0.000 0.000 0.500
Rb: 0.500 0.000 0.000
Ga: 0.500 0.500 0.500
Zn: 0.000 0.500 0.000
Cu: 0.000 0.000 0.000



3.
VASP calculation (PBE) on crystalline Na2FeTeH at its relaxed geometry.

Space group ... P4/mmm (123)
Distance to the lowest polymorph of the same formula ... 0.419 eV per atom
Spin magnetization ... 3.00 μB/cell
Crystal system ... tetragonal
Energy ... -15.4 eV for the cell shown

Unit cell a=5.949 b=4.876 c=5.949 alpha=90.00 beta=90.00 gamma=90.00
Last column: magnetic moment on the atom in μB.
Atoms (fractional coordinates):
Te: 0.000 0.000 0.000  0.02
H: 0.500 0.500 0.500  0.04
Fe: 0.000 0.500 0.000  2.76
Na: 0.000 0.000 0.500  0.00
Na: 0.500 0.000 0.000  0.00



4.
VASP calculation (PBE) on crystalline Ti4Mn2Co at its relaxed geometry.

Space group ... I4/mmm (139)
Spin magnetization ... 0.00 μB/cell
Formation enthalpy at 0 K ... -0.113 eV per atom
Crystal system ... tetragonal
Energy ... -57.8 eV for the cell shown

Unit cell a=5.095 b=5.095 c=5.095 alpha=108.67 beta=109.88 gamma=109.88
Atoms (fractional coordinates):
Ti: 0.500 0.000 0.000
Ti: 0.000 0.000 0.500
Ti: 0.000 0.500 0.000
Ti: 0.500 0.500 0.500
Co: 0.000 0.000 0.000
Mn: 0.500 0.000 0.500
Mn: 0.500 0.500 0.000



5.
VASP calculation (PBE) on crystalline Mg2ScGaC at its relaxed geometry.

Space group ... P4/mmm (123)
Spin magnetization ... 0.00 μB/cell
Formation enthalpy at 0 K ... -0.152 eV per atom
Crystal system ... tetragonal
Energy ... -22.5 eV for the cell shown

Unit cell a=4.377 b=4.377 c=4.501 alpha=90.00 beta=90.00 gamma=90.00
Atoms (fractional coordinates):
C: 0.000 0.000 0.000
Mg: 0.500 0.000 0.000
Mg: 0.000 0.500 0.000
Ga: 0.500 0.500 0.500
Sc: 0.000 0.000 0.500



6.
VASP calculation (PBE) on crystalline SrH at its relaxed geometry.

Space group ... P2_12_12_1 (19)
Spin magnetization ... 0.00 μB/cell
Crystal system ... orthorhombic
Energy ... -45.5 eV for the cell shown

Unit cell a=6.448 b=7.735 c=7.633 alpha=90.00 beta=90.00 gamma=90.00
Atoms (fractional coordinates):
Sr: 0.276 0.625 0.411
Sr: 0.217 0.119 0.373
Sr: 0.224 0.375 0.911
Sr: 0.783 0.619 0.127
Sr: 0.283 0.881 0.873
Sr: 0.717 0.381 0.627
Sr: 0.776 0.875 0.589
Sr: 0.724 0.125 0.089
H: 0.671 0.619 0.426
H: 0.964 0.879 0.282
H: 0.036 0.379 0.218
H: 0.464 0.621 0.718
H: 0.829 0.381 0.926
H: 0.171 0.881 0.574
H: 0.329 0.119 0.074
H: 0.536 0.121 0.782



7.
VASP calculation (PBE) on crystalline LaAgSn2 at its relaxed geometry.

Space group ... Cmcm (63)
Spin magnetization ... 0.00 μB/cell
Formation enthalpy at 0 K ... -0.482 eV per atom
Crystal system ... orthorhombic
Energy ... -35.4 eV for the cell shown

Unit cell a=4.859 b=4.450 c=10.211 alpha=102.58 beta=90.00 gamma=90.00
Atoms (fractional coordinates):
Sn: 0.750 0.464 0.928
Sn: 0.250 0.255 0.511
Sn: 0.750 0.745 0.489
Sn: 0.250 0.536 0.072
Ag: 0.250 0.669 0.339
Ag: 0.750 0.331 0.661
La: 0.250 0.898 0.797
La: 0.750 0.102 0.203



8.
VASP calculation (PBE) on crystalline SrLaCuAg at its relaxed geometry.

Space group ... F-43m (216)
Spin magnetization ... 0.00 μB/cell
Formation enthalpy at 0 K ... -0.145 eV per atom
Crystal system ... cubic
Energy ... -14.1 eV for the cell shown

Unit cell a=5.358 b=5.358 c=5.358 alpha=60.00 beta=60.00 gamma=60.00
Atoms (fractional coordinates):
Cu: 0.250 0.250 0.250
La: 0.000 0.000 0.000
Sr: 0.500 0.500 0.500
Ag: 0.750 0.750 0.750